No. 1
This record from OQMD via LeMat-Bulk describes crystalline NaTmGe at its relaxed geometry. The functional is PBE-GGA.

abc: 4.835 4.835 4.835
angles: 60.00 60.00 60.00
Fractional positions:
Ge 0.250 0.250 0.250
Na 0.750 0.750 0.750
Tm 0.000 0.000 0.000

Computed properties:
E_tot in eV/atom: -3.400
Total magnetization in μB per formula unit: 0.001
Symmetry: F-43m, No. 216



No. 2
This record from OQMD via LeMat-Bulk describes crystalline Ga2FeHg at its relaxed geometry. The functional is PBE-GGA.

abc: 4.651 4.651 4.651
angles: 60.00 60.00 60.00
Fractional positions:
Fe 0.500 0.500 0.500
Ga 0.000 0.000 0.000
Ga 0.750 0.750 0.750
Hg 0.250 0.250 0.250

Computed properties:
E_tot in eV/atom: -3.275
Total magnetization in μB per formula unit: 2.649
Symmetry: F-43m, No. 216



No. 3
This record from OQMD via LeMat-Bulk describes crystalline NaNdZnTe3 at its relaxed geometry. The functional is PBE-GGA.

abc: 10.647 10.647 8.685
angles: 103.40 103.40 24.02
Fractional positions:
Na 0.885 0.885 0.431
Na 0.115 0.115 0.569
Nd 0.172 0.172 0.083
Nd 0.828 0.828 0.917
Te 0.000 0.000 0.000
Te 0.326 0.326 0.168
Te 0.670 0.670 0.340
Te 0.500 0.500 0.500
Te 0.330 0.330 0.660
Te 0.674 0.674 0.832
Zn 0.541 0.541 0.228
Zn 0.459 0.459 0.772

Computed properties:
E_tot in eV/atom: -3.677
Total magnetization in μB per formula unit: 0.001
Symmetry: C2/m, No. 12



No. 4
This record from OQMD via LeMat-Bulk describes crystalline SrNbCuPt at its relaxed geometry. The functional is PBE-GGA.

abc: 4.686 4.686 4.686
angles: 60.00 60.00 60.00
Fractional positions:
Cu 0.750 0.750 0.750
Nb 0.250 0.250 0.250
Pt 0.500 0.500 0.500
Sr 0.000 0.000 0.000

Computed properties:
E_tot in eV/atom: -5.188
Total magnetization in μB per formula unit: 0.000
Symmetry: F-43m, No. 216